(1)
A relaxed structure of PrSm3Ge4, computed with PBE.

Cell: 4.047 6.566 9.018 Å, 111.35 102.97 90.00°
Positions (direct):
Pr: 0.500 0.000 0.000
Sm: 0.000 0.500 0.000
Sm: 0.197 0.197 0.394
Sm: 0.803 0.803 0.606
Ge: 0.368 0.557 0.736
Ge: 0.632 0.443 0.264
Ge: 0.632 0.821 0.264
Ge: 0.368 0.179 0.736

* theoretical density: 6.77 Mg/m³
* final energy: -42.54 eV per cell
* E_form: -495 kJ/mol of formula units



(2)
A relaxed structure of PrSmGe, computed with PBE.

Cell: 3.500 6.977 7.523 Å, 103.36 103.50 89.93°
Positions (direct):
Pr: 0.309 0.487 0.379
Pr: 0.569 0.617 0.910
Sm: 0.578 0.121 0.922
Sm: 0.300 0.982 0.367
Ge: 0.939 0.285 0.644
Ge: 0.939 0.819 0.645

* theoretical density: 6.97 Mg/m³
* final energy: -30.69 eV per cell
* E_form: -118 kJ/mol of formula units



(3)
A relaxed structure of Pr3Sm4Ge4, computed with PBE.

Cell: 4.053 8.787 9.881 Å, 116.40 101.84 90.00°
Positions (direct):
Pr: 0.097 0.097 0.194
Pr: 0.903 0.903 0.806
Pr: 0.000 0.500 0.000
Sm: 0.328 0.148 0.657
Sm: 0.672 0.492 0.343
Sm: 0.672 0.852 0.343
Sm: 0.328 0.508 0.657
Ge: 0.269 0.769 0.538
Ge: 0.731 0.231 0.462
Ge: 0.500 0.774 0.000
Ge: 0.500 0.226 0.000

* theoretical density: 7.11 Mg/m³
* final energy: -58.45 eV per cell
* E_form: -653 kJ/mol of formula units



(4)
A relaxed structure of PrSmGe, computed with PBE.

Cell: 4.338 4.806 4.806 Å, 120.00 90.00 90.00°
Positions (direct):
Pr: 0.629 0.667 0.333
Ge: 0.282 0.333 0.667
Sm: 0.090 0.000 0.000

* theoretical density: 6.96 Mg/m³
* final energy: -15.30 eV per cell
* E_form: -115 kJ/mol of formula units



(5)
A relaxed structure of PrSm2Ge, computed with PBE.

Cell: 3.699 3.699 11.324 Å, 80.60 80.60 60.00°
Positions (direct):
Pr: 0.000 0.000 0.000
Ge: 0.500 0.500 0.500
Sm: 0.107 0.107 0.679
Sm: 0.893 0.893 0.321

* theoretical density: 6.48 Mg/m³
* final energy: -19.12 eV per cell
* E_form: -28 kJ/mol of formula units



(6)
A relaxed structure of PrSm2Ge6, computed with PBE.

Cell: 4.028 7.689 7.689 Å, 120.00 90.00 90.00°
Positions (direct):
Pr: 0.000 0.000 0.000
Sm: 0.000 0.333 0.667
Sm: 0.000 0.667 0.333
Ge: 0.500 0.335 0.335
Ge: 0.500 0.665 0.665
Ge: 0.500 0.000 0.665
Ge: 0.500 0.665 0.000
Ge: 0.500 0.335 0.000
Ge: 0.500 0.000 0.335

* theoretical density: 7.07 Mg/m³
* final energy: -47.03 eV per cell
* E_form: -493 kJ/mol of formula units



(7)
A relaxed structure of Pr3Sm2Ge4, computed with PBE.

Cell: 7.880 9.022 8.076 Å, 90.00 90.00 122.47°
Positions (direct):
Pr: 0.000 0.500 0.500
Pr: 0.500 0.500 0.000
Pr: 0.631 0.199 0.818
Pr: 0.869 0.801 0.318
Pr: 0.369 0.801 0.182
Pr: 0.131 0.199 0.682
Sm: 0.508 0.235 0.335
Sm: 0.992 0.765 0.835
Sm: 0.492 0.765 0.665
Sm: 0.008 0.235 0.165
Ge: 0.759 0.085 0.463
Ge: 0.741 0.915 0.963
Ge: 0.241 0.915 0.537
Ge: 0.259 0.085 0.037
Ge: 0.885 0.506 0.124
Ge: 0.615 0.494 0.624
Ge: 0.115 0.494 0.876
Ge: 0.385 0.506 0.376

* theoretical density: 6.95 Mg/m³
* final energy: -99.12 eV per cell
* E_form: -706 kJ/mol of formula units



(8)
A relaxed structure of PrSm2Ge, computed with PBE.

Cell: 4.762 4.803 4.803 Å, 90.00 90.00 90.00°
Positions (direct):
Pr: 0.500 0.500 0.500
Ge: 0.500 0.000 0.000
Sm: 0.000 0.000 0.500
Sm: 0.000 0.500 0.000

* theoretical density: 7.77 Mg/m³
* final energy: -20.18 eV per cell
* E_form: -130 kJ/mol of formula units